1.
Here is a geometry-optimized CuPtCl structure from Alexandria. Energies are from PBE.

Cell lengths 5.8747, 5.8747, 5.8747 Å; angles 151.05, 151.05, 41.40 degrees
Closest atoms and distances in Å follow each position.
Fractional coordinates of all 3 atoms:
Pt: 0.6817 0.6817 0.0000  4 Cu 2.66, 4 Pt 2.94
Cl: 0.9851 0.9851 0.0000  4 Cu 2.66, 4 Cl 2.94
Cu: 0.3332 0.3332 0.0000  4 Pt 2.66, 4 Cl 2.66, 4 Cu 2.94

* excess energy over the best structure of this formula in the dataset: 138 meV/atom

2.
Here is a geometry-optimized CuPtCl structure from Alexandria. Energies are from PBE.

Cell lengths 6.6174, 6.2778, 3.0194 Å; angles 82.82, 70.26, 26.92 degrees
Closest atoms and distances in Å follow each position.
Fractional coordinates of all 3 atoms:
Cl: 0.0190 0.0190 0.9810  2 Cu 2.30
Cu: 0.6597 0.6597 0.3403  2 Cl 2.30, 2 Pt 2.50
Pt: 0.3213 0.3213 0.6787  2 Cu 2.50

* excess energy over the best structure of this formula in the dataset: 29 meV/atom

3.
Here is a geometry-optimized CuPt2Cl structure from Alexandria. Energies are from PBE.

Cell lengths 6.3213, 6.3213, 6.3213 Å; angles 154.44, 141.17, 47.06 degrees
Closest atoms and distances in Å follow each position.
Fractional coordinates of all 4 atoms:
Pt: 0.4658 0.4658 0.0000  6 Pt 2.65-2.80, 2 Cu 2.87
Pt: 0.0342 0.0342 0.0000  6 Pt 2.65-2.80, 2 Cu 2.87
Cl: 0.7500 0.2500 0.5000  4 Cu 2.52, 2 Cl 2.80
Cu: 0.2500 0.7500 0.5000  4 Cl 2.52, 2 Cu 2.80

* excess energy over the best structure of this formula in the dataset: 162 meV/atom

4.
Here is a geometry-optimized Cu4PtCl structure from Alexandria. Energies are from PBE.

Cell lengths 4.9349, 4.9349, 4.9349 Å; angles 60.00, 60.00, 60.00 degrees
Closest atoms and distances in Å follow each position.
Fractional coordinates of all 6 atoms:
Cu: 0.6245 0.1266 0.6245  6 Cu 2.46-2.48
Cu: 0.6245 0.6245 0.6245  6 Cu 2.46-2.48
Cu: 0.6245 0.6245 0.1266  6 Cu 2.46-2.48
Cu: 0.1266 0.6245 0.6245  6 Cu 2.46-2.48
Cl: 0.0000 0.0000 0.0000  12 Cu 2.89, 4 Pt 3.02
Pt: 0.2500 0.2500 0.2500  12 Cu 2.89, 4 Cl 3.02

| no. | E_tot (eV/atom) |
| --- | --- |
| 1 | -3.687 |
| 2 | -3.797 |
| 3 | -4.222 |
| 4 | -3.714 |